Computed, not measured: a relaxed YTlMo2 crystal at the PBE level of DFT.

Unit cell a=4.4785 b=4.4785 c=6.7246 alpha=82.72 beta=82.72 gamma=42.23
Element x y z (fractional)
Mo (0.0102, 0.0102, 0.9375)
Mo (0.7470, 0.7470, 0.7990)
Tl (0.4940, 0.4940, 0.5421)
Y (0.2488, 0.2488, 0.2214)

- Excess energy over the best structure of this formula in the dataset: 275.0 meV/atom
- Electronic total energy: -7.199 eV/atom